# 1
Crystalline SrIn2Se at its relaxed geometry, computed with PBE.

Cell lengths 6.161, 6.216, 6.536 Å; angles 90.00, 90.00, 90.00 degrees
Space group Cmmm (No. 65)
One atom of each set of equivalent atoms:
1 Sr 0.000 0.000 0.000
2 In 0.000 0.265 0.500
3 Se 0.000 0.500 0.000

Formation energy (no corrections)   -2.74 eV per formula unit

***

# 2
Crystalline SnSb at its relaxed geometry, computed with PBE.

Cell lengths 6.320, 7.960, 9.795 Å; angles 90.00, 90.00, 90.00 degrees
Space group P2_12_12_1 (No. 19)
One atom of each set of equivalent atoms:
1 Sn 0.117 0.016 0.225
2 Sn 0.238 0.399 0.089
3 Sb 0.090 0.270 0.485
4 Sb 0.114 0.273 0.810

Formation energy (no corrections)   0.20 eV per formula unit

***

# 3
Crystalline Pu4Sn3Au at its relaxed geometry, computed with PBE.

Cell lengths 3.342, 3.342, 18.148 Å; angles 90.00, 90.00, 90.00 degrees
Space group P4/mmm (No. 123)
One atom of each set of equivalent atoms:
1 Pu 0.000 0.000 0.116
2 Pu 0.000 0.000 0.372
3 Sn 0.500 0.500 0.244
4 Sn 0.500 0.500 0.500
5 Au 0.500 0.500 0.000

E_form   -0.381 eV/atom

***

# 4
Crystalline ScSiSbBr2 at its relaxed geometry, computed with PBE.

Cell lengths 5.057, 5.057, 5.823 Å; angles 90.00, 90.00, 90.00 degrees
Space group P4/mmm (No. 123)
One atom of each set of equivalent atoms:
1 Sc 0.000 0.000 0.000
2 Si 0.000 0.000 0.500
3 Sb 0.500 0.500 0.500
4 Br 0.000 0.500 0.000

Formation energy (no corrections)   -0.49 eV per formula unit

***

# 5
Crystalline LiLaNb2 at its relaxed geometry, computed with PBE.

Cell lengths 4.046, 4.046, 21.029 Å; angles 90.00, 90.00, 90.00 degrees
Space group I-42d (No. 122)
One atom of each set of equivalent atoms:
1 Li 0.000 0.000 0.000
2 La 0.000 0.000 0.500
3 Nb 0.244 0.750 0.125

E_form   0.637 eV/atom

***

# 6
Crystalline Co4Pd at its relaxed geometry, computed with PBE.

Cell lengths 4.507, 4.507, 4.507 Å; angles 90.00, 90.00, 90.00 degrees
Space group Pm-3m (No. 221)
One atom of each set of equivalent atoms:
1 Co 0.000 0.000 0.000
2 Co 0.000 0.500 0.500
3 Pd 0.500 0.500 0.500

E_form   1.701 eV/atom